Here is a geometry-optimized Li3PrGa2 structure from Alexandria via LeMat-Bulk. Energies are from PBE.

Lattice parameters (Å, degrees): 4.485 9.651 9.651 120.00 90.00 90.00
Last column: magnetic moment on the atom in μB.
Fractional positions:
Li1 0.500 0.500 0.500  0.00
Li2 0.500 0.000 0.500  0.00
Li3 0.500 0.500 0.000  0.00
Li4 0.000 0.707 0.707  0.00
Li5 0.000 0.000 0.293  0.00
Li6 0.000 0.293 0.000  0.00
Li7 0.000 0.293 0.293  0.00
Li8 0.000 0.000 0.707  0.00
Li9 0.000 0.707 0.000  0.00
Pr1 0.500 0.000 0.000  0.13
Pr2 0.000 0.667 0.333  0.02
Pr3 0.000 0.333 0.667  0.02
Ga1 0.500 0.812 0.188  0.01
Ga2 0.500 0.377 0.188  0.01
Ga3 0.500 0.812 0.623  0.01
Ga4 0.500 0.188 0.812  0.01
Ga5 0.500 0.623 0.812  0.01
Ga6 0.500 0.188 0.377  0.01

Summary:
- Relative energy among the computed polymorphs: 47 meV/atom
- Magnetization: 0.22 μB per formula unit
- DFT formation energy: -0.280 eV per atom